# Tl7Se3F

A geometry-optimized Tl7Se3F structure (PBE, the Alexandria database).

Results
Formation energy (no corrections) in eV per atom: -0.56
VASP energy in eV/atom: -3.19
Symmetry: Cmcm (63)
Total magnetic moment in μB per formula unit: 0.000

```
Tl7Se3F
1.0
7.328 -4.212 0.000
7.328 4.212 0.000
0.000 0.000 11.946
Tl Se F
14 6 2
direct
0.041 0.959 0.750 Tl
0.083 0.651 0.003 Tl
0.083 0.651 0.497 Tl
0.342 0.408 0.750 Tl
0.349 0.917 0.003 Tl
0.349 0.917 0.497 Tl
0.408 0.342 0.250 Tl
0.592 0.658 0.750 Tl
0.651 0.083 0.503 Tl
0.651 0.083 0.997 Tl
0.658 0.592 0.250 Tl
0.917 0.349 0.503 Tl
0.917 0.349 0.997 Tl
0.959 0.041 0.250 Tl
0.017 0.656 0.250 Se
0.344 0.983 0.250 Se
0.500 0.500 0.000 Se
0.500 0.500 0.500 Se
0.656 0.017 0.750 Se
0.983 0.344 0.750 Se
0.000 0.000 0.000 F
0.000 0.000 0.500 F
```


# Ca2CuSn4Pt3

A geometry-optimized Ca2CuSn4Pt3 structure (PBE, the Alexandria database).

Results
Formation enthalpy at 0 K in eV per atom: -0.65
VASP energy in eV/atom: -4.87
Symmetry: P-4m2 (115)
Total magnetic moment in μB per formula unit: 0.000

```
Ca2CuSn4Pt3
1.0
4.543 0.000 0.000
0.000 4.543 0.000
0.000 0.000 10.995
Ca Cu Sn Pt
2 1 4 3
direct
0.000 0.500 0.240 Ca
0.500 0.000 0.760 Ca
0.500 0.500 0.000 Cu
0.000 0.000 0.500 Sn
0.000 0.500 0.874 Sn
0.500 0.000 0.126 Sn
0.500 0.500 0.500 Sn
0.000 0.000 0.000 Pt
0.000 0.500 0.634 Pt
0.500 0.000 0.366 Pt
```


# CaNd4Ho5

A geometry-optimized CaNd4Ho5 structure (PBE, the Alexandria database).

Results
Formation enthalpy at 0 K in eV per atom: 0.15
VASP energy in eV/atom: -4.25
Symmetry: P-1 (2)
Total magnetic moment in μB per formula unit: 0.000

```
CaNd4Ho5
1.0
3.470 0.000 0.000
0.030 6.933 0.000
1.694 1.595 14.203
Ca Nd Ho
1 4 5
direct
0.000 0.000 0.000 Ca
0.114 0.800 0.777 Nd
0.403 0.671 0.196 Nd
0.597 0.329 0.804 Nd
0.886 0.200 0.223 Nd
0.000 0.500 0.000 Ho
0.289 0.390 0.413 Ho
0.294 0.900 0.413 Ho
0.706 0.100 0.587 Ho
0.711 0.610 0.587 Ho
```